This record from Alexandria describes an optimized crystal structure of Mg2TcSe. The functional is PBE-GGA.

Unit cell a=9.1277 b=9.1277 c=9.1277 alpha=20.38 beta=20.38 gamma=20.38
Element x y z (fractional)
Tc 0.7589 0.7589 0.7589
Se 0.4838 0.4838 0.4838
Mg 0.2447 0.2447 0.2447
Mg 0.0126 0.0126 0.0126

## Properties
- uncorrected formation energy (eV/atom) = -0.0628
- crystal system = trigonal
- space-group type = R3m (160)

=====

This record from Alexandria describes an optimized crystal structure of ScZn2Co. The functional is PBE-GGA.

Unit cell a=3.6907 b=3.6907 c=9.8533 alpha=79.21 beta=79.21 gamma=90.00
Element x y z (fractional)
Zn 0.6564 0.1250 0.2500
Zn 0.3750 0.3436 0.7500
Co 0.7500 0.2500 0.5000
Sc 0.2500 0.7500 0.5000
Zn 0.0936 0.6250 0.2500
Zn 0.8750 0.9064 0.7500
Co 0.0000 0.0000 0.0000
Sc 0.5000 0.5000 0.0000

## Properties
- energy of formation (meV per atom) = 70
- crystal system = tetragonal
- space-group type = I-42d (122)

=====

This record from Alexandria describes an optimized crystal structure of La8Ga3IrBr4. The functional is PBE-GGA.

Unit cell a=8.6515 b=9.0819 c=8.8486 alpha=120.12 beta=119.27 gamma=90.00
Element x y z (fractional)
Ga 0.0000 0.5000 0.5000
La 0.2435 0.2891 0.0163
Br 0.0000 0.0000 0.5000
Ir 0.0000 0.5000 0.0000
Br 0.0000 0.0000 0.0000
La 0.2271 0.7109 0.9837
Br 0.5000 0.0000 0.5000
La 0.2552 0.2627 0.5104
La 0.7628 0.2751 0.5255
Br 0.5000 0.0000 0.0000
La 0.7729 0.2891 0.0163
La 0.7448 0.7373 0.4896
Ga 0.5000 0.5000 0.5000
La 0.7565 0.7109 0.9837
La 0.2372 0.7249 0.4745
Ga 0.5000 0.5000 0.0000

## Properties
- uncorrected formation energy (eV/atom) = -1.0000
- crystal system = monoclinic
- space-group type = C2/m (12)

=====

This record from Alexandria describes an optimized crystal structure of HoMnCoGe3. The functional is PBE-GGA.

Unit cell a=5.5958 b=7.3949 c=6.4619 alpha=124.90 beta=90.00 gamma=90.00
Each line ends with the local moment (μB).
Element x y z (fractional)
Ge 0.0000 0.7499 0.0000  -0.03
Ho 0.2500 0.7469 0.4938  -0.04
Mn 0.2500 0.0490 0.0979  1.04
Ge 0.5000 0.7499 0.0000  -0.03
Ho 0.7500 0.2531 0.5062  -0.04
Ge 0.0000 0.2501 0.0000  -0.03
Ge 0.5000 0.2501 0.0000  -0.03
Mn 0.7500 0.9510 0.9021  1.04
Ge 0.2500 0.2587 0.5175  -0.04
Ge 0.7500 0.7413 0.4825  -0.04
Co 0.7500 0.5323 0.0647  -0.24
Co 0.2500 0.4677 0.9353  -0.24

## Properties
- energy of formation (meV per atom) = -160
- crystal system = orthorhombic
- space-group type = Cmcm (63)

=====

This record from Alexandria describes an optimized crystal structure of KSnAu2. The functional is PBE-GGA.

Unit cell a=4.9940 b=6.2276 c=7.2158 alpha=90.00 beta=90.00 gamma=113.64
Element x y z (fractional)
Sn 0.2276 0.4551 0.2500
K 0.9328 0.8655 0.2500
Au 0.6291 0.2582 0.0585
Au 0.6291 0.2582 0.4415
K 0.0672 0.1345 0.7500
Au 0.3709 0.7418 0.9415
Sn 0.7724 0.5449 0.7500
Au 0.3709 0.7418 0.5585

## Properties
- energy of formation (meV per atom) = -239
- crystal system = orthorhombic
- space-group type = Cmcm (63)

=====

This record from Alexandria describes an optimized crystal structure of KMgZr2. The functional is PBE-GGA.

Unit cell a=11.9305 b=11.9305 c=11.9305 alpha=16.01 beta=16.01 gamma=16.01
Element x y z (fractional)
K 0.5003 0.5003 0.5003
Zr 0.0018 0.0018 0.0018
Mg 0.2611 0.2611 0.2611
Zr 0.7367 0.7367 0.7367

## Properties
- energy of formation (meV per atom) = 317
- crystal system = trigonal
- space-group type = R3m (160)